VASP calculation (GGA+U) on a relaxed FeSNF2 crystal. Values from VASP.

Cell and atoms, written as Quantum ESPRESSO input:
```
&SYSTEM
  ibrav = 0, nat = 5, ntyp = 4
/
ATOMIC_SPECIES
Fe 55.84 Fe.upf
S 32.06 S.upf
N 14.01 N.upf
F 19.00 F.upf
ATOMIC_POSITIONS crystal
Fe 0.000 0.000 0.000
S 0.500 0.500 0.500
N 0.000 0.000 0.500
F 0.000 0.500 0.000
F 0.500 0.000 0.000
CELL_PARAMETERS angstrom
3.790 0.000 0.000
0.000 3.790 0.000
0.000 0.000 4.488
```

Results
Space group ... P4/mmm (123)
DOS(E_F) ... 2.5 states/eV/f.u.
Distance to the lowest polymorph of the same formula ... 0.000 eV per atom